1) MgBeOsW: relaxed, PBE.

Structure (extended XYZ):
```
4
Lattice="0.000 3.033 3.033 3.033 0.000 3.033 3.033 3.033 0.000" Properties=species:S:1:pos:R:3 pbc="T T T"
Be 0.000 0.000 0.000
Mg 4.550 4.550 4.550
Os 1.517 1.517 1.517
W 3.033 3.033 3.033
```

Calculated values
total moment = 0.00 μB/cell

---

2) MgBeOsW: relaxed, PBE.

Structure (extended XYZ):
```
4
Lattice="3.018 -2.372 -1.873 0.697 -4.002 1.321 -1.107 -3.293 -2.485" Properties=species:S:1:pos:R:3 pbc="T T T"
Be 1.956 -7.250 -2.277
Mg 0.652 -2.417 -0.759
Os 0.000 0.000 0.000
W 1.304 -4.833 -1.518
```

Calculated values
total moment = 0.76 μB/cell

---

Going by the computed energies, the most stable comes first: 1), 2).

---

1) PrMgBe: relaxed, PBE.

Structure (extended XYZ):
```
3
Lattice="0.000 3.464 3.464 3.464 0.000 3.464 3.464 3.464 0.000" Properties=species:S:1:pos:R:3 pbc="T T T"
Be 1.732 1.732 1.732
Mg 5.196 5.196 5.196
Pr 0.000 0.000 0.000
```

Calculated values
total moment = 0.00 μB/cell

---

2) PrMgBe: relaxed, PBE.

Structure (extended XYZ):
```
3
Lattice="3.307 -1.793 2.915 -0.398 -4.469 1.588 2.987 -3.357 -1.568" Properties=species:S:1:pos:R:3 pbc="T T T"
Be 1.474 -2.405 0.734
Mg 0.000 0.000 0.000
Pr 4.422 -7.214 2.201
```

Calculated values
total moment = 0.00 μB/cell

---

Going by the computed energies, the most stable comes first: 2), 1).

---

1) MgZrBePt: relaxed, PBE.

Structure (extended XYZ):
```
4
Lattice="0.000 3.172 3.172 3.172 0.000 3.172 3.172 3.172 0.000" Properties=species:S:1:pos:R:3 pbc="T T T"
Be 4.758 4.758 4.758
Mg 0.000 0.000 0.000
Pt 3.172 3.172 3.172
Zr 1.586 1.586 1.586
```

Calculated values
total moment = 0.00 μB/cell

---

2) MgZrBePt: relaxed, PBE.

Structure (extended XYZ):
```
4
Lattice="-1.439 -3.219 -2.710 -3.931 -1.943 0.745 -3.415 0.765 -2.745" Properties=species:S:1:pos:R:3 pbc="T T T"
Be -6.588 -3.297 -3.533
Mg -2.196 -1.099 -1.178
Pt -4.392 -2.198 -2.355
Zr 0.000 0.000 0.000
```

Calculated values
total moment = 0.03 μB/cell

---

Going by the computed energies, the most stable comes first: 1), 2).